(1)
KPaGaN3: relaxed, PBE-GGA.

abc: 7.169 3.590 9.231
angles: 90.00 107.40 90.00
Space group P2_1/m (No. 11)
One atom of each set of equivalent atoms:
K1 0.203 0.250 0.225 x2
Pa1 0.352 0.250 0.842 x2
Ga1 0.138 0.750 0.573 x2
N1 0.029 0.250 0.638 x2
N2 0.339 0.750 0.992 x2
N3 0.397 0.750 0.706 x2

D(E_F) (states/eV/f.u.): 0.000
Raw total energy (eV per formula unit): -43.52
ΔE_f (raw) (eV/atom): -0.820
Magnetic moment (μB/f.u.): 0.000



(2)
CaSc2Ag: relaxed, PBE-GGA.

abc: 8.335 8.335 6.202
angles: 90.00 90.00 90.00
Space group I-42d (No. 122)
One atom of each set of equivalent atoms:
Ca1 0.000 0.000 0.000 x4
Sc1 0.192 0.250 0.625 x8
Ag1 0.000 0.000 0.500 x4

D(E_F) (states/eV/f.u.): 3.479
Raw total energy (eV per formula unit): -16.81
Distance to the lowest polymorph of the same formula (meV/atom): 237.5
Magnetic moment (μB/f.u.): 0.866



(3)
Pm2Nd6Al: relaxed, PBE-GGA.

abc: 17.681 9.630 3.603
angles: 90.00 95.99 90.00
Space group C2/m (No. 12)
One atom of each set of equivalent atoms:
Pm1 0.174 0.000 0.429 x4
Nd1 0.000 0.216 0.500 x4
Nd2 0.164 0.332 0.967 x8
Al1 0.000 0.500 0.000 x2

D(E_F) (states/eV/f.u.): 13.319
Raw total energy (eV per formula unit): -41.18
Magnetic moment (μB/f.u.): 0.000



(4)
NaAg2HgPt: relaxed, PBE-GGA.

abc: 4.828 4.828 4.888
angles: 90.00 90.00 90.00
Space group P4/mmm (No. 123)
One atom of each set of equivalent atoms:
Na1 0.000 0.000 0.000 x1
Ag1 0.000 0.500 0.000 x2
Hg1 0.500 0.500 0.500 x1
Pt1 0.000 0.000 0.500 x1

D(E_F) (states/eV/f.u.): 2.300
Raw total energy (eV per formula unit): -9.09
Magnetic moment (μB/f.u.): 0.000



> Which formula does entry 2 have?

CaSc2Ag



> Among the records above, which one has the lowest raw total energy?

KPaGaN3



> D(E_F) of number 1 (KPaGaN3)?

0.000 states/eV/f.u.



> Look up the D(E_F) of the fourth one.

2.300 states/eV/f.u.